La2HoCu | PBE | optimized geometry

Computed properties:
Calculated density in g cm⁻³: 6.945
Offset from the most stable computed form in meV per atom: 271
Size of the total moment in Bohr magnetons per cell: 0.01
ΔE_f in eV/f.u.: 0.95

abc: 3.555 3.555 11.247
angles: 80.91 80.91 60.00
Atoms (fractional coordinates):
Ho  0.000  0.000  0.000
La  0.101  0.101  0.697
Cu  0.500  0.500  0.500
La  0.899  0.899  0.303



LaHo2Cu9 | PBE | optimized geometry

Computed properties:
Calculated density in g cm⁻³: 8.754
Size of the total moment in Bohr magnetons per cell: 0.00
ΔE_f in eV/f.u.: -2.24

abc: 5.283 5.283 16.335
angles: 90.00 90.00 120.00
Atoms (fractional coordinates):
Cu  0.833  0.666  0.875
Cu  0.334  0.167  0.875
Cu  0.334  0.167  0.625
Cu  0.000  0.000  0.750
Cu  0.666  0.833  0.125
Cu  0.167  0.334  0.125
La  0.333  0.667  0.750
Cu  0.000  0.000  0.000
Cu  0.167  0.833  0.375
Cu  0.666  0.833  0.375
Ho  0.333  0.667  0.533
Cu  0.167  0.334  0.375
Cu  0.833  0.167  0.625
Cu  0.833  0.666  0.625
Ho  0.333  0.667  0.967
Ho  0.667  0.333  0.467
Cu  0.167  0.833  0.125
Cu  0.000  0.000  0.250
Ho  0.667  0.333  0.033
Cu  0.000  0.000  0.500
Cu  0.667  0.333  0.750
Cu  0.833  0.167  0.875
Cu  0.333  0.667  0.250
La  0.667  0.333  0.250



LaHo5Cu4 | PBE | optimized geometry

Computed properties:
Calculated density in g cm⁻³: 8.740
Size of the total moment in Bohr magnetons per cell: 0.00
ΔE_f in eV/f.u.: -2.05

abc: 3.451 3.451 19.424
angles: 90.00 90.00 90.00
Atoms (fractional coordinates):
La  0.000  0.000  0.000
Ho  0.500  0.500  0.320
Ho  0.500  0.500  0.500
Cu  0.000  0.000  0.770
Ho  0.500  0.500  0.680
Cu  0.000  0.000  0.590
Ho  0.500  0.500  0.856
Ho  0.500  0.500  0.144
Cu  0.000  0.000  0.410
Cu  0.000  0.000  0.230



LaHoCu10 | PBE | optimized geometry

Computed properties:
Calculated density in g cm⁻³: 8.497
Size of the total moment in Bohr magnetons per cell: 0.00
ΔE_f in eV/f.u.: -2.11

abc: 4.118 5.086 8.765
angles: 90.00 90.00 90.00
Atoms (fractional coordinates):
Cu  0.500  0.500  0.000
Cu  0.500  0.754  0.244
Cu  0.500  0.246  0.244
La  0.000  0.500  0.500
Cu  0.500  0.754  0.756
Cu  0.000  0.000  0.673
Ho  0.000  0.000  0.000
Cu  0.000  0.500  0.161
Cu  0.000  0.500  0.839
Cu  0.000  0.000  0.327
Cu  0.500  0.000  0.500
Cu  0.500  0.246  0.756